[1]
The following is a GGA-PBE calculation of a geometry-optimized TeP2Br structure, from Alexandria via LeMat-Bulk.

Unit cell a=4.383 b=4.383 c=7.647 alpha=90.00 beta=90.00 gamma=129.75
Fractional coordinates of all 4 atoms:
Te 0.000 0.000 0.000
P 0.500 0.500 0.238
P 0.500 0.500 0.762
Br 0.000 0.000 0.500

=====

[2]
The following is a GGA-PBE calculation of a geometry-optimized TeP2Br structure, from Alexandria via LeMat-Bulk.

Unit cell a=5.106 b=5.106 c=5.092 alpha=116.04 beta=116.04 gamma=95.17
Fractional coordinates of all 4 atoms:
Te 0.000 0.000 0.000
P 0.000 0.500 0.500
P 0.500 0.000 0.500
Br 0.500 0.500 0.000

=====

Number 1: ΔE to the lowest computed polymorph 241.6 kJ/mol of formula units, uncorrected formation energy 658 meV/atom. Number 2: ΔE to the lowest computed polymorph 231.1 kJ/mol of formula units, uncorrected formation energy 630 meV/atom.